{"formula": "InMoAu4", "functional": "GGA-PBE", "state": "optimized geometry", "lattice": [[0.000, 3.906, 3.906], [3.906, 0.000, 3.906], [3.906, 3.906, 0.000]], "species": ["In", "Mo", "Au", "Au", "Au", "Au"], "fractional_positions": [[0.000, 0.000, 0.000], [0.750, 0.750, 0.750], [0.375, 0.375, 0.375], [0.375, 0.375, 0.874], [0.375, 0.874, 0.375], [0.874, 0.375, 0.375]], "total_magnetization_mub_per_atom": 0.58, "energy_ev_per_cell": -24.3}

{"formula": "Pr2Sm2Ho15", "functional": "GGA-PBE", "state": "optimized geometry", "lattice": [[5.627, 3.249, 5.796], [-5.627, 3.249, 5.796], [0.000, -6.498, 5.796]], "species": ["Pr", "Pr", "Sm", "Sm", "Ho", "Ho", "Ho", "Ho", "Ho", "Ho", "Ho", "Ho", "Ho", "Ho", "Ho", "Ho", "Ho", "Ho", "Ho"], "fractional_positions": [[0.120, 0.120, 0.120], [0.880, 0.880, 0.880], [0.335, 0.335, 0.335], [0.665, 0.665, 0.665], [0.000, 0.000, 0.500], [0.000, 0.303, 0.697], [0.000, 0.500, 0.000], [0.000, 0.697, 0.303], [0.154, 0.634, 0.634], [0.303, 0.000, 0.697], [0.303, 0.697, 0.000], [0.366, 0.366, 0.846], [0.366, 0.846, 0.366], [0.500, 0.000, 0.000], [0.634, 0.154, 0.634], [0.634, 0.634, 0.154], [0.697, 0.000, 0.303], [0.697, 0.303, 0.000], [0.846, 0.366, 0.366]], "total_magnetization_mub_per_atom": 0.00, "energy_ev_per_cell": -82.3}

{"formula": "AlHg5", "functional": "GGA-PBE", "state": "optimized geometry", "lattice": [[5.826, -1.667, 0.000], [5.826, 1.667, 0.000], [-1.262, 0.000, 7.708]], "species": ["Al", "Hg", "Hg", "Hg", "Hg", "Hg"], "fractional_positions": [[0.000, 0.000, 0.000], [0.062, 0.062, 0.650], [0.332, 0.332, 0.800], [0.473, 0.473, 0.297], [0.705, 0.705, 0.065], [0.766, 0.766, 0.455]], "e_above_lowest_polymorph_ev_per_atom": 0.007, "total_magnetization_mub_per_atom": 0.00, "energy_ev_per_cell": -4.8}

{"formula": "YPu3Tl4", "functional": "GGA-PBE", "state": "optimized geometry", "lattice": [[3.365, 0.000, 0.000], [0.000, 3.365, 0.000], [0.000, 0.000, 19.074]], "species": ["Y", "Pu", "Pu", "Pu", "Tl", "Tl", "Tl", "Tl"], "fractional_positions": [[0.000, 0.000, 0.000], [0.000, 0.000, 0.246], [0.000, 0.000, 0.500], [0.000, 0.000, 0.754], [0.500, 0.500, 0.121], [0.500, 0.500, 0.373], [0.500, 0.500, 0.627], [0.500, 0.500, 0.879]], "total_magnetization_mub_per_atom": 0.69, "energy_ev_per_cell": -59.8}

| no. | ΔE_f (eV per atom) |
| --- | --- |
| 1 | 0.40 |
| 2 | 0.28 |
| 3 | 0.08 |
| 4 | -0.11 |